Material: AgMo
Method: DFT, PBE
State: relaxed

```
data_AgMo
_symmetry_space_group_name_H-M 'P m m n'
_symmetry_Int_Tables_number 59
_cell_length_a 2.692
_cell_length_b 14.036
_cell_length_c 5.296
_cell_angle_alpha 90.00
_cell_angle_beta 90.00
_cell_angle_gamma 90.00
loop_
_symmetry_equiv_pos_as_xyz
'x,y,z'
'-x,-y,-z'
'-x+1/2,-y+1/2,z'
'x+1/2,y+1/2,-z'
'x+1/2,-y,-z'
'-x+1/2,y,z'
'-x,y+1/2,-z'
'x,-y+1/2,z'
loop_
_atom_site_label
_atom_site_type_symbol
_atom_site_fract_x
_atom_site_fract_y
_atom_site_fract_z
Ag1 Ag 0.250 0.083 0.080
Ag2 Ag 0.250 0.750 0.758
Mo1 Mo 0.250 0.250 0.730
Mo2 Mo 0.250 0.583 0.420
```

Calculated values
D(E_F) ... 11.18 states/eV per cell
Calculated formation energy ... 101.6 kJ/mol of formula units
Polymorph energy (0 for the lowest one) ... 262 meV per atom
Calculated total energy ... -6.315 eV/atom